# 1
# CuP2C

Crystalline CuP2C at its relaxed geometry (PBE, Alexandria via LeMat-Bulk).

Properties
Formation energy from the elements in kJ per mole of atoms: 33.3

CIF file:
```
data_CuP2C
_chemical_formula_sum 'Cu4 P8 C4'
_space_group_name_H-M_alt 'I -4 2 d'
_space_group_IT_number 122
_space_group_name_Hall 'I -4 2bw'
_cell_length_a 4.918
_cell_length_b 4.918
_cell_length_c 8.903
_cell_angle_alpha 90.00
_cell_angle_beta 90.00
_cell_angle_gamma 90.00
loop_
_atom_site_label
_atom_site_type_symbol
_atom_site_fract_x
_atom_site_fract_y
_atom_site_fract_z
Cu1 Cu 0.000 0.000 0.000
P1 P 0.195 0.250 0.625
C1 C 0.000 0.000 0.500
```

# 2
# CuPC2

Crystalline CuPC2 at its relaxed geometry (PBE, Alexandria via LeMat-Bulk).

Properties
Formation energy from the elements in kJ per mole of atoms: 72.4

CIF file:
```
data_CuPC2
_chemical_formula_sum 'Cu4 P4 C8'
_space_group_name_H-M_alt 'I -4 2 d'
_space_group_IT_number 122
_space_group_name_Hall 'I -4 2bw'
_cell_length_a 4.535
_cell_length_b 4.535
_cell_length_c 8.076
_cell_angle_alpha 90.00
_cell_angle_beta 90.00
_cell_angle_gamma 90.00
loop_
_atom_site_label
_atom_site_type_symbol
_atom_site_fract_x
_atom_site_fract_y
_atom_site_fract_z
Cu1 Cu 0.000 0.000 0.000
P1 P 0.000 0.000 0.500
C1 C 0.208 0.250 0.625
```

# 3
# CuPC2

Crystalline CuPC2 at its relaxed geometry (PBE, Alexandria via LeMat-Bulk).

Properties
Formation energy from the elements in kJ per mole of atoms: 70.4

CIF file:
```
data_CuPC2
_chemical_formula_sum 'Cu2 P2 C4'
_space_group_name_H-M_alt 'I m m 2'
_space_group_IT_number 44
_cell_length_a 2.820
_cell_length_b 3.803
_cell_length_c 9.139
_cell_angle_alpha 90.00
_cell_angle_beta 90.00
_cell_angle_gamma 90.00
loop_
_space_group_symop_operation_xyz
'x,y,z'
'-x,-y,z'
'-x,y,z'
'x,-y,z'
'x+1/2,y+1/2,z+1/2'
'-x+1/2,-y+1/2,z+1/2'
'-x+1/2,y+1/2,z+1/2'
'x+1/2,-y+1/2,z+1/2'
loop_
_atom_site_label
_atom_site_type_symbol
_atom_site_fract_x
_atom_site_fract_y
_atom_site_fract_z
Cu1 Cu 0.000 0.000 0.000
P1 P 0.000 0.000 0.246
C1 C 0.000 0.179 0.785
```

# 4
# CuPC2

Crystalline CuPC2 at its relaxed geometry (PBE, Alexandria via LeMat-Bulk).

Properties
Formation energy from the elements in kJ per mole of atoms: 44.3

CIF file:
```
data_CuPC2
_chemical_formula_sum 'Cu2 P2 C4'
_space_group_name_H-M_alt 'C 1 2 1'
_space_group_IT_number 5
_cell_length_a 3.692
_cell_length_b 10.897
_cell_length_c 2.488
_cell_angle_alpha 90.00
_cell_angle_beta 90.42
_cell_angle_gamma 90.00
loop_
_space_group_symop_operation_xyz
'x,y,z'
'-x,y,-z'
'x+1/2,y+1/2,z'
'-x+1/2,y+1/2,-z'
loop_
_atom_site_label
_atom_site_type_symbol
_atom_site_fract_x
_atom_site_fract_y
_atom_site_fract_z
Cu1 Cu 0.000 0.000 0.000
P1 P 0.000 0.587 0.500
C1 C 0.000 0.755 0.500
C2 C 0.000 0.816 0.000
```

# 5
# CuPC2

Crystalline CuPC2 at its relaxed geometry (PBE, Alexandria via LeMat-Bulk).

Properties
Formation energy from the elements in kJ per mole of atoms: 55.1

CIF file:
```
data_CuPC2
_chemical_formula_sum 'Cu2 P2 C4'
_space_group_name_H-M_alt 'C 1 m 1'
_space_group_IT_number 8
_cell_length_a 10.972
_cell_length_b 2.501
_cell_length_c 3.292
_cell_angle_alpha 90.00
_cell_angle_beta 90.14
_cell_angle_gamma 90.00
loop_
_space_group_symop_operation_xyz
'x,y,z'
'x,-y,z'
'x+1/2,y+1/2,z'
'x+1/2,-y+1/2,z'
loop_
_atom_site_label
_atom_site_type_symbol
_atom_site_fract_x
_atom_site_fract_y
_atom_site_fract_z
Cu1 Cu 0.000 0.000 0.000
P1 P 0.147 0.000 0.501
C1 C 0.313 0.000 0.498
C2 C 0.375 0.500 0.497
```

# 6
# CuPC2

Crystalline CuPC2 at its relaxed geometry (PBE, Alexandria via LeMat-Bulk).

Properties
Formation energy from the elements in kJ per mole of atoms: 51.9

CIF file:
```
data_CuPC2
_chemical_formula_sum 'Cu1 P1 C2'
_space_group_name_H-M_alt 'P m m 2'
_space_group_IT_number 25
_cell_length_a 2.584
_cell_length_b 2.890
_cell_length_c 5.391
_cell_angle_alpha 90.00
_cell_angle_beta 90.00
_cell_angle_gamma 90.00
loop_
_space_group_symop_operation_xyz
'x,y,z'
'-x,-y,z'
'-x,y,z'
'x,-y,z'
loop_
_atom_site_label
_atom_site_type_symbol
_atom_site_fract_x
_atom_site_fract_y
_atom_site_fract_z
Cu1 Cu 0.000 0.000 0.000
P1 P 0.500 0.000 0.362
C1 C 0.000 0.500 0.738
C2 C 0.500 0.500 0.589
```

# 7
# CuP2C2

Crystalline CuP2C2 at its relaxed geometry (PBE, Alexandria via LeMat-Bulk).

Properties
Formation energy from the elements in kJ per mole of atoms: 110.1
Excess energy over the best structure of this formula in the dataset in kJ/mol of formula units: 0

CIF file:
```
data_CuP2C2
_chemical_formula_sum 'Cu2 P4 C4'
_space_group_name_H-M_alt 'P 4/m b m'
_space_group_IT_number 127
_space_group_name_Hall '-P 4 2ab'
_cell_length_a 6.457
_cell_length_b 6.457
_cell_length_c 2.941
_cell_angle_alpha 90.00
_cell_angle_beta 90.00
_cell_angle_gamma 90.00
loop_
_atom_site_label
_atom_site_type_symbol
_atom_site_fract_x
_atom_site_fract_y
_atom_site_fract_z
Cu1 Cu 0.000 0.000 0.000
P1 P 0.122 0.378 0.000
C1 C 0.215 0.285 0.500
```

# 8
# CuPC2

Crystalline CuPC2 at its relaxed geometry (PBE, Alexandria via LeMat-Bulk).

Properties
Formation energy from the elements in kJ per mole of atoms: 71.5

CIF file:
```
data_CuPC2
_chemical_formula_sum 'Cu2 P2 C4'
_space_group_name_H-M_alt 'A m m 2'
_space_group_IT_number 38
_cell_length_a 2.805
_cell_length_b 2.862
_cell_length_c 11.133
_cell_angle_alpha 90.00
_cell_angle_beta 90.00
_cell_angle_gamma 90.00
loop_
_space_group_symop_operation_xyz
'x,y,z'
'-x,-y,z'
'-x,y,z'
'x,-y,z'
'x,y+1/2,z+1/2'
'-x,-y+1/2,z+1/2'
'-x,y+1/2,z+1/2'
'x,-y+1/2,z+1/2'
loop_
_atom_site_label
_atom_site_type_symbol
_atom_site_fract_x
_atom_site_fract_y
_atom_site_fract_z
Cu1 Cu 0.000 0.000 0.000
P1 P 0.000 0.000 0.215
C1 C 0.500 0.000 0.311
C2 C 0.500 0.000 0.435
```

# 9
# CuPC2

Crystalline CuPC2 at its relaxed geometry (PBE, Alexandria via LeMat-Bulk).

Properties
Formation energy from the elements in kJ per mole of atoms: 83.6

CIF file:
```
data_CuPC2
_chemical_formula_sum 'Cu2 P2 C4'
_space_group_name_H-M_alt 'C 1 2 1'
_space_group_IT_number 5
_cell_length_a 4.010
_cell_length_b 4.793
_cell_length_c 5.006
_cell_angle_alpha 90.00
_cell_angle_beta 93.64
_cell_angle_gamma 90.00
loop_
_space_group_symop_operation_xyz
'x,y,z'
'-x,y,-z'
'x+1/2,y+1/2,z'
'-x+1/2,y+1/2,-z'
loop_
_atom_site_label
_atom_site_type_symbol
_atom_site_fract_x
_atom_site_fract_y
_atom_site_fract_z
Cu1 Cu 0.000 0.000 0.000
P1 P 0.000 0.615 0.500
C1 C 0.120 0.948 0.377
```

# 10
# CuPC2

Crystalline CuPC2 at its relaxed geometry (PBE, Alexandria via LeMat-Bulk).

Properties
Formation energy from the elements in kJ per mole of atoms: 54.2

CIF file:
```
data_CuPC2
_chemical_formula_sum 'Cu4 P4 C8'
_space_group_name_H-M_alt 'F m m 2'
_space_group_IT_number 42
_space_group_name_Hall 'F 2 -2'
_cell_length_a 2.545
_cell_length_b 7.695
_cell_length_c 8.996
_cell_angle_alpha 90.00
_cell_angle_beta 90.00
_cell_angle_gamma 90.00
loop_
_atom_site_label
_atom_site_type_symbol
_atom_site_fract_x
_atom_site_fract_y
_atom_site_fract_z
Cu1 Cu 0.000 0.000 0.000
P1 P 0.000 0.000 0.716
C1 C 0.000 0.202 0.826
```

# 11
# CuPC2

Crystalline CuPC2 at its relaxed geometry (PBE, Alexandria via LeMat-Bulk).

Properties
Formation energy from the elements in kJ per mole of atoms: 64.7

CIF file:
```
data_CuPC2
_chemical_formula_sum 'Cu2 P2 C4'
_space_group_name_H-M_alt 'C 1 m 1'
_space_group_IT_number 8
_cell_length_a 7.691
_cell_length_b 2.857
_cell_length_c 5.549
_cell_angle_alpha 90.00
_cell_angle_beta 125.22
_cell_angle_gamma 90.00
loop_
_space_group_symop_operation_xyz
'x,y,z'
'x,-y,z'
'x+1/2,y+1/2,z'
'x+1/2,-y+1/2,z'
loop_
_atom_site_label
_atom_site_type_symbol
_atom_site_fract_x
_atom_site_fract_y
_atom_site_fract_z
Cu1 Cu 0.000 0.000 0.000
P1 P 0.371 0.500 0.517
C1 C 0.076 0.500 0.298
C2 C 0.450 0.000 0.408
```

# 12
# CuPC2

Crystalline CuPC2 at its relaxed geometry (PBE, Alexandria via LeMat-Bulk).

Properties
Formation energy from the elements in kJ per mole of atoms: 65.8

CIF file:
```
data_CuPC2
_chemical_formula_sum 'Cu3 P3 C6'
_space_group_name_H-M_alt 'R 3 m'
_space_group_IT_number 160
_space_group_name_Hall 'R 3 -2"'
_cell_length_a 2.9427
_cell_length_b 2.9427
_cell_length_c 16.8432
_cell_angle_alpha 90.00
_cell_angle_beta 90.00
_cell_angle_gamma 120.00
loop_
_atom_site_label
_atom_site_type_symbol
_atom_site_fract_x
_atom_site_fract_y
_atom_site_fract_z
Cu1 Cu 0.0000 0.0000 0.0000
P1 P 0.0000 0.0000 0.8630
C1 C 0.0000 0.0000 0.3921
C2 C 0.0000 0.0000 0.4778
```

What did the tenth record say?
# CuPC2

Crystalline CuPC2 at its relaxed geometry (PBE, Alexandria via LeMat-Bulk).

Properties
Formation energy from the elements in kJ per mole of atoms: 54.2

CIF file:
```
data_CuPC2
_chemical_formula_sum 'Cu4 P4 C8'
_space_group_name_H-M_alt 'F m m 2'
_space_group_IT_number 42
_space_group_name_Hall 'F 2 -2'
_cell_length_a 2.545
_cell_length_b 7.695
_cell_length_c 8.996
_cell_angle_alpha 90.00
_cell_angle_beta 90.00
_cell_angle_gamma 90.00
loop_
_atom_site_label
_atom_site_type_symbol
_atom_site_fract_x
_atom_site_fract_y
_atom_site_fract_z
Cu1 Cu 0.000 0.000 0.000
P1 P 0.000 0.000 0.716
C1 C 0.000 0.202 0.826
```

Q: What is the formula in the eleventh record?
A: CuPC2